[1]
VASP calculation (PBE) on a relaxed structure of NaSi2Ni.

The structure in CIF format:
```
data_NaSi2Ni
_chemical_formula_sum 'Na1 Si2 Ni1'
_cell_length_a 4.324
_cell_length_b 4.324
_cell_length_c 4.324
_cell_angle_alpha 60.00
_cell_angle_beta 60.00
_cell_angle_gamma 60.00
_space_group_name_H-M_alt 'P 1'
_space_group_IT_number 1
loop_
_space_group_symop_operation_xyz
'x,y,z'
loop_
_atom_site_label
_atom_site_fract_x
_atom_site_fract_y
_atom_site_fract_z
_atom_site_occupancy
Na1 0.000 0.000 0.000 1
Si1 0.250 0.250 0.250 1
Si2 0.750 0.750 0.750 1
Ni1 0.500 0.500 0.500 1
```

Summary:
Space-group type: Fm-3m (225)
Energy above the lowest structure with this stoichiometry (meV/atom): 456
DFT total energy (eV/f.u.): -16.9
Density of states at the Fermi level (states/eV/f.u.): 2.418


[2]
VASP calculation (PBE) on a relaxed structure of Cs2GeSbS4.

The structure in CIF format:
```
data_Cs2GeSbS4
_chemical_formula_sum 'Cs4 Ge2 Sb2 S8'
_cell_length_a 7.675
_cell_length_b 9.182
_cell_length_c 8.099
_cell_angle_alpha 90.00
_cell_angle_beta 90.00
_cell_angle_gamma 90.00
_space_group_name_H-M_alt 'P 1'
_space_group_IT_number 1
loop_
_space_group_symop_operation_xyz
'x,y,z'
loop_
_atom_site_label
_atom_site_fract_x
_atom_site_fract_y
_atom_site_fract_z
_atom_site_occupancy
Cs1 0.250 0.010 0.246 1
Cs2 0.250 0.490 0.246 1
Cs3 0.750 0.510 0.754 1
Cs4 0.750 0.990 0.754 1
Ge1 0.250 0.750 0.841 1
Ge2 0.750 0.250 0.159 1
Sb1 0.250 0.250 0.779 1
Sb2 0.750 0.750 0.221 1
S1 0.002 0.250 0.980 1
S2 0.250 0.538 0.691 1
S3 0.250 0.962 0.691 1
S4 0.498 0.250 0.980 1
S5 0.502 0.750 0.020 1
S6 0.750 0.038 0.309 1
S7 0.750 0.462 0.309 1
S8 0.998 0.750 0.020 1
```

Summary:
Space-group type: Pmmn (59)
DFT total energy (eV/f.u.): -32.1
Density of states at the Fermi level (states/eV/f.u.): 1.963


[3]
VASP calculation (PBE) on a relaxed structure of BeI2OF.

The structure in CIF format:
```
data_BeI2OF
_chemical_formula_sum 'Be1 I2 O1 F1'
_cell_length_a 6.249
_cell_length_b 6.249
_cell_length_c 2.915
_cell_angle_alpha 90.00
_cell_angle_beta 90.00
_cell_angle_gamma 90.00
_space_group_name_H-M_alt 'P 1'
_space_group_IT_number 1
loop_
_space_group_symop_operation_xyz
'x,y,z'
loop_
_atom_site_label
_atom_site_fract_x
_atom_site_fract_y
_atom_site_fract_z
_atom_site_occupancy
Be1 0.000 0.000 0.000 1
I1 0.000 0.500 0.000 1
I2 0.500 0.000 0.000 1
O1 0.000 0.000 0.500 1
F1 0.500 0.500 0.500 1
```

Summary:
Space-group type: P4/mmm (123)
Energy above the lowest structure with this stoichiometry (meV/atom): 0
DFT total energy (eV/f.u.): -17.0
Density of states at the Fermi level (states/eV/f.u.): 7.409


[4]
VASP calculation (PBE) on a relaxed structure of La2AlZn2Ni5.

The structure in CIF format:
```
data_La2AlZn2Ni5
_chemical_formula_sum 'La4 Al2 Zn4 Ni10'
_cell_length_a 9.873
_cell_length_b 9.873
_cell_length_c 3.344
_cell_angle_alpha 90.00
_cell_angle_beta 90.00
_cell_angle_gamma 90.00
_space_group_name_H-M_alt 'P 1'
_space_group_IT_number 1
loop_
_space_group_symop_operation_xyz
'x,y,z'
loop_
_atom_site_label
_atom_site_fract_x
_atom_site_fract_y
_atom_site_fract_z
_atom_site_occupancy
La1 0.177 0.323 0.000 1
La2 0.323 0.823 0.000 1
La3 0.677 0.177 0.000 1
La4 0.823 0.677 0.000 1
Al1 0.000 0.000 0.000 1
Al2 0.500 0.500 0.000 1
Zn1 0.122 0.622 0.000 1
Zn2 0.378 0.122 0.000 1
Zn3 0.622 0.878 0.000 1
Zn4 0.878 0.378 0.000 1
Ni1 0.000 0.500 0.500 1
Ni2 0.053 0.807 0.500 1
Ni3 0.193 0.053 0.500 1
Ni4 0.307 0.553 0.500 1
Ni5 0.447 0.307 0.500 1
Ni6 0.500 0.000 0.500 1
Ni7 0.553 0.693 0.500 1
Ni8 0.693 0.447 0.500 1
Ni9 0.807 0.947 0.500 1
Ni10 0.947 0.193 0.500 1
```

Summary:
Space-group type: P4/mbm (127)
ΔE_f (kcal/mol of atoms): -5.25
DFT total energy (eV/f.u.): -47.3
Density of states at the Fermi level (states/eV/f.u.): 6.612


[5]
VASP calculation (PBE) on a relaxed structure of La4Pr2H2Pb3.

The structure in CIF format:
```
data_La4Pr2H2Pb3
_chemical_formula_sum 'La4 Pr2 H2 Pb3'
_cell_length_a 13.816
_cell_length_b 13.816
_cell_length_c 13.816
_cell_angle_alpha 159.56
_cell_angle_beta 159.56
_cell_angle_gamma 29.07
_space_group_name_H-M_alt 'P 1'
_space_group_IT_number 1
loop_
_space_group_symop_operation_xyz
'x,y,z'
loop_
_atom_site_label
_atom_site_fract_x
_atom_site_fract_y
_atom_site_fract_z
_atom_site_occupancy
La1 0.084 0.584 0.500 1
La2 0.416 0.916 0.500 1
La3 0.584 0.084 0.500 1
La4 0.916 0.416 0.500 1
Pr1 0.201 0.201 0.000 1
Pr2 0.799 0.799 0.000 1
H1 0.107 0.107 0.000 1
H2 0.893 0.893 0.000 1
Pb1 0.324 0.324 0.000 1
Pb2 0.500 0.500 0.000 1
Pb3 0.676 0.676 0.000 1
```

Summary:
Space-group type: I4/mmm (139)
DFT total energy (eV/f.u.): -52.2
Density of states at the Fermi level (states/eV/f.u.): 12.551


[6]
VASP calculation (PBE) on a relaxed structure of TaInNi2Au.

The structure in CIF format:
```
data_TaInNi2Au
_chemical_formula_sum 'Ta1 In1 Ni2 Au1'
_cell_length_a 4.543
_cell_length_b 4.543
_cell_length_c 4.896
_cell_angle_alpha 90.00
_cell_angle_beta 90.00
_cell_angle_gamma 90.00
_space_group_name_H-M_alt 'P 1'
_space_group_IT_number 1
loop_
_space_group_symop_operation_xyz
'x,y,z'
loop_
_atom_site_label
_atom_site_fract_x
_atom_site_fract_y
_atom_site_fract_z
_atom_site_occupancy
Ta1 0.000 0.000 0.000 1
In1 0.500 0.500 0.500 1
Ni1 0.000 0.500 0.500 1
Ni2 0.500 0.000 0.500 1
Au1 0.500 0.500 0.000 1
```

Summary:
Space-group type: P4/mmm (123)
ΔE_f (kcal/mol of atoms): 32.71
DFT total energy (eV/f.u.): -22.3
Density of states at the Fermi level (states/eV/f.u.): 8.461


[7]
VASP calculation (PBE) on a relaxed structure of YMgTlSn.

The structure in CIF format:
```
data_YMgTlSn
_chemical_formula_sum 'Y1 Mg1 Tl1 Sn1'
_cell_length_a 5.281
_cell_length_b 5.281
_cell_length_c 5.281
_cell_angle_alpha 60.00
_cell_angle_beta 60.00
_cell_angle_gamma 60.00
_space_group_name_H-M_alt 'P 1'
_space_group_IT_number 1
loop_
_space_group_symop_operation_xyz
'x,y,z'
loop_
_atom_site_label
_atom_site_fract_x
_atom_site_fract_y
_atom_site_fract_z
_atom_site_occupancy
Y1 0.000 0.000 0.000 1
Mg1 0.500 0.500 0.500 1
Tl1 0.750 0.750 0.750 1
Sn1 0.250 0.250 0.250 1
```

Summary:
Space-group type: F-43m (216)
Energy above the lowest structure with this stoichiometry (meV/atom): 152
ΔE_f (kcal/mol of atoms): -5.81
DFT total energy (eV/f.u.): -15.4
Density of states at the Fermi level (states/eV/f.u.): 3.352


[8]
VASP calculation (PBE) on a relaxed structure of ThPa2OsC4.

The structure in CIF format:
```
data_ThPa2OsC4
_chemical_formula_sum 'Th2 Pa4 Os2 C8'
_cell_length_a 6.263
_cell_length_b 6.263
_cell_length_c 11.934
_cell_angle_alpha 90.00
_cell_angle_beta 90.00
_cell_angle_gamma 146.86
_space_group_name_H-M_alt 'P 1'
_space_group_IT_number 1
loop_
_space_group_symop_operation_xyz
'x,y,z'
loop_
_atom_site_label
_atom_site_fract_x
_atom_site_fract_y
_atom_site_fract_z
_atom_site_occupancy
Th1 0.107 0.893 0.750 1
Th2 0.893 0.107 0.250 1
Pa1 0.367 0.633 0.546 1
Pa2 0.367 0.633 0.954 1
Pa3 0.633 0.367 0.046 1
Pa4 0.633 0.367 0.454 1
Os1 0.151 0.849 0.250 1
Os2 0.849 0.151 0.750 1
C1 0.000 0.000 0.000 1
C2 0.000 0.000 0.500 1
C3 0.265 0.735 0.126 1
C4 0.265 0.735 0.374 1
C5 0.441 0.559 0.750 1
C6 0.559 0.441 0.250 1
C7 0.735 0.265 0.626 1
C8 0.735 0.265 0.874 1
```

Summary:
Space-group type: Cmcm (63)
ΔE_f (kcal/mol of atoms): -4.90
DFT total energy (eV/f.u.): -76.2
Density of states at the Fermi level (states/eV/f.u.): 6.322


[9]
VASP calculation (PBE) on a relaxed structure of SrErCd2.

The structure in CIF format:
```
data_SrErCd2
_chemical_formula_sum 'Sr1 Er1 Cd2'
_cell_length_a 3.867
_cell_length_b 3.867
_cell_length_c 7.780
_cell_angle_alpha 90.00
_cell_angle_beta 90.00
_cell_angle_gamma 90.00
_space_group_name_H-M_alt 'P 1'
_space_group_IT_number 1
loop_
_space_group_symop_operation_xyz
'x,y,z'
loop_
_atom_site_label
_atom_site_fract_x
_atom_site_fract_y
_atom_site_fract_z
_atom_site_occupancy
Sr1 0.000 0.000 0.000 1
Er1 0.000 0.000 0.500 1
Cd1 0.500 0.500 0.284 1
Cd2 0.500 0.500 0.716 1
```

Summary:
Space-group type: P4/mmm (123)
ΔE_f (kcal/mol of atoms): -7.19
DFT total energy (eV/f.u.): -9.3
Density of states at the Fermi level (states/eV/f.u.): 2.854


[10]
VASP calculation (PBE) on a relaxed structure of RbTlAs.

The structure in CIF format:
```
data_RbTlAs
_chemical_formula_sum 'Rb1 Tl1 As1'
_cell_length_a 5.383
_cell_length_b 5.383
_cell_length_c 5.383
_cell_angle_alpha 60.00
_cell_angle_beta 60.00
_cell_angle_gamma 60.00
_space_group_name_H-M_alt 'P 1'
_space_group_IT_number 1
loop_
_space_group_symop_operation_xyz
'x,y,z'
loop_
_atom_site_label
_atom_site_fract_x
_atom_site_fract_y
_atom_site_fract_z
_atom_site_occupancy
Rb1 0.000 0.000 0.000 1
Tl1 0.500 0.500 0.500 1
As1 0.750 0.750 0.750 1
```

Summary:
Space-group type: F-43m (216)
Energy above the lowest structure with this stoichiometry (meV/atom): 146
ΔE_f (kcal/mol of atoms): -1.96
DFT total energy (eV/f.u.): -8.2
Density of states at the Fermi level (states/eV/f.u.): 1.186


[11]
VASP calculation (PBE) on a relaxed structure of Ru2Se3.

The structure in CIF format:
```
data_Ru2Se3
_chemical_formula_sum 'Ru4 Se6'
_cell_length_a 6.578
_cell_length_b 6.102
_cell_length_c 7.639
_cell_angle_alpha 55.86
_cell_angle_beta 50.16
_cell_angle_gamma 73.99
_space_group_name_H-M_alt 'P 1'
_space_group_IT_number 1
loop_
_space_group_symop_operation_xyz
'x,y,z'
loop_
_atom_site_label
_atom_site_fract_x
_atom_site_fract_y
_atom_site_fract_z
_atom_site_occupancy
Ru1 0.083 0.917 0.154 1
Ru2 0.096 0.404 0.167 1
Ru3 0.404 0.096 0.333 1
Ru4 0.917 0.083 0.846 1
Se1 0.216 0.476 0.390 1
Se2 0.332 0.860 0.774 1
Se3 0.476 0.216 0.918 1
Se4 0.676 0.676 0.324 1
Se5 0.860 0.332 0.034 1
Se6 0.926 0.926 0.574 1
```

Summary:
Space-group type: Fdd2 (43)
DFT total energy (eV/f.u.): -29.5
Density of states at the Fermi level (states/eV/f.u.): 3.526


[12]
VASP calculation (PBE) on a relaxed structure of LiB2C2.

The structure in CIF format:
```
data_LiB2C2
_chemical_formula_sum 'Li4 B8 C8'
_cell_length_a 7.842
_cell_length_b 7.842
_cell_length_c 9.427
_cell_angle_alpha 108.28
_cell_angle_beta 108.28
_cell_angle_gamma 19.74
_space_group_name_H-M_alt 'P 1'
_space_group_IT_number 1
loop_
_space_group_symop_operation_xyz
'x,y,z'
loop_
_atom_site_label
_atom_site_fract_x
_atom_site_fract_y
_atom_site_fract_z
_atom_site_occupancy
Li1 0.000 0.000 0.000 1
Li2 0.006 0.006 0.457 1
Li3 0.251 0.251 0.098 1
Li4 0.503 0.503 0.727 1
B1 0.125 0.125 0.709 1
B2 0.132 0.132 0.216 1
B3 0.370 0.370 0.985 1
B4 0.383 0.383 0.493 1
B5 0.622 0.622 0.957 1
B6 0.635 0.635 0.465 1
B7 0.879 0.879 0.240 1
B8 0.882 0.882 0.743 1
C1 0.119 0.119 0.871 1
C2 0.135 0.135 0.380 1
C3 0.382 0.382 0.328 1
C4 0.382 0.382 0.829 1
C5 0.624 0.624 0.623 1
C6 0.629 0.629 0.126 1
C7 0.869 0.869 0.071 1
C8 0.888 0.888 0.581 1
```

Summary:
Space-group type: Cm (8)
Energy above the lowest structure with this stoichiometry (meV/atom): 46
ΔE_f (kcal/mol of atoms): -0.54
DFT total energy (eV/f.u.): -33.8
Density of states at the Fermi level (states/eV/f.u.): 0.708